Below is a relaxed SrNi4O2 crystal, with properties calculated at the GGA+U level.

Output
Energy   -13.796 eV per formula unit
N(E_F)   2.58 states/eV/cell
Spin magnetization   3.9 μB per cell
Space group   I4/mmm

Cell: 7.1088 7.1088 7.1088 Å, 141.76 141.76 55.18°
With the nearest neighbours (Å) after each atom.
Sites, in units of the cell vectors:
Sr 0.0000 0.0000 0.0000  4 Ni 2.33
Ni 0.0000 0.5000 0.5000  2 Sr 2.33, 4 O 2.60
Ni 0.2608 0.2608 0.0000  1 O 1.85
Ni 0.5000 0.0000 0.5000  2 Sr 2.33, 4 O 2.60
Ni 0.7392 0.7392 0.0000  1 O 1.85
O 0.4074 0.4074 0.0000  1 Ni 1.85
O 0.5926 0.5926 0.0000  1 Ni 1.85